Entry from the Alexandria database: crystalline BaTa4Re at its relaxed geometry (PBE).

Computed properties:
Formation energy, meV/atom: 924.0
Final energy, Ry/atom: -0.689

abc: 5.6056 5.6056 5.6056
angles: 60.00 60.00 60.00
Sites, in units of the cell vectors:
Ba (0.0000, 0.0000, 0.0000)
Ta (0.3754, 0.3754, 0.3754)
Ta (0.3754, 0.3754, 0.8739)
Ta (0.3754, 0.8739, 0.3754)
Ta (0.8739, 0.3754, 0.3754)
Re (0.7500, 0.7500, 0.7500)

=====

Entry from the Alexandria database: crystalline LaMg2Ag3 at its relaxed geometry (PBE).

Computed properties:
Excess energy over the best structure of this formula in the dataset, meV per atom: 0
Formation energy, meV/atom: -231.3
Final energy, Ry/atom: -0.221

abc: 3.4270 3.4270 10.9132
angles: 90.00 90.00 90.00
Sites, in units of the cell vectors:
La (0.0000, 0.0000, 0.0000)
Mg (0.0000, 0.0000, 0.3499)
Mg (0.0000, 0.0000, 0.6501)
Ag (0.5000, 0.5000, 0.2090)
Ag (0.5000, 0.5000, 0.5000)
Ag (0.5000, 0.5000, 0.7910)

=====

Entry from the Alexandria database: crystalline PuNpSe2 at its relaxed geometry (PBE).

Computed properties:
Excess energy over the best structure of this formula in the dataset, meV per atom: 0
Final energy, Ry/atom: -0.722
ΔE_f (raw), eV per atom: -1.27

abc: 4.0702 4.0702 20.5243
angles: 90.00 90.00 120.00
Sites, in units of the cell vectors:
Pu (0.0000, 0.0000, 0.0000)
Pu (0.3333, 0.6667, 0.6667)
Pu (0.6667, 0.3333, 0.3333)
Np (0.0000, 0.0000, 0.5000)
Np (0.3333, 0.6667, 0.1667)
Np (0.6667, 0.3333, 0.8333)
Se (0.0000, 0.0000, 0.2496)
Se (0.0000, 0.0000, 0.7504)
Se (0.3333, 0.6667, 0.4171)
Se (0.3333, 0.6667, 0.9162)
Se (0.6667, 0.3333, 0.0838)
Se (0.6667, 0.3333, 0.5829)

=====

> Number 1 is which compound?

BaTa4Re

=====

> Which value of final energy does entry 1 give?

-0.689 Ry/atom

=====

> final energy of number 2 (LaMg2Ag3)?

-0.221 Ry/atom